PBE TbEuMg2, optimized geometry; magnetization = 7.28 μB/cell; energy of formation from the pure elements = -74 meV per atom
1.0
3.892 0.000 0.000
0.000 3.892 0.000
0.000 0.000 7.849
Eu Mg Tb
1 2 1
direct
0.500 0.500 0.500
0.000 0.000 0.770
0.000 0.000 0.230
0.500 0.500 0.000

PBE TbEuMgTl, optimized geometry; magnetization = 7.38 μB/cell; energy of formation from the pure elements = -237 meV per atom
1.0
5.483 0.000 0.000
2.741 4.748 0.000
2.741 1.583 4.477
Eu Tl Tb Mg
1 1 1 1
direct
0.750 0.750 0.750
0.000 0.000 0.000
0.250 0.250 0.250
0.500 0.500 0.500

PBE TbEuMgZn, optimized geometry; magnetization = 7.22 μB/cell; energy of formation from the pure elements = -129 meV per atom
1.0
-0.321 5.309 -0.307
-4.567 2.311 -1.477
-2.891 2.704 3.565
Eu Zn Tb Mg
1 1 1 1
direct
0.750 0.750 0.750
0.000 0.000 0.000
0.250 0.250 0.250
0.500 0.500 0.500

PBE EuMgTe2, optimized geometry; magnetization = 7.00 μB/cell; E_form (uncorrected) = -1.21 eV/atom
1.0
-4.214 1.370 0.250
-2.693 -1.664 3.110
-0.307 5.206 5.686
Eu Mg Te
1 1 2
direct
0.500 0.500 0.500
0.000 0.000 0.000
0.259 0.259 0.222
0.741 0.741 0.778

PBE EuThMg, optimized geometry; magnetization = 7.30 μB/cell; energy above the lowest structure with this stoichiometry = 0.393 kcal/mol of atoms; energy of formation from the pure elements = 125 meV per atom
1.0
-0.225 -1.203 -3.316
-2.370 -1.022 2.415
-5.121 6.838 -2.132
Eu Mg Th
1 1 1
direct
0.000 0.000 0.991
0.333 0.667 0.663
0.667 0.333 0.346

PBE EuThMg, optimized geometry; magnetization = 7.49 μB/cell; energy above the lowest structure with this stoichiometry = 0.000 kcal/mol of atoms; energy of formation from the pure elements = 108 meV per atom
1.0
3.597 0.000 0.000
0.000 3.597 0.000
-1.798 -1.798 7.386
Eu Mg Th
1 1 1
direct
0.006 0.006 0.012
0.670 0.670 0.340
0.324 0.324 0.648

PBE Eu2ThMg, optimized geometry; magnetization = 14.85 μB/cell; energy above the lowest structure with this stoichiometry = 0.000 kcal/mol of atoms; energy of formation from the pure elements = 87 meV per atom
1.0
-2.777 -2.293 -0.289
2.245 -2.569 -1.187
1.561 -3.112 9.683
Eu Mg Th
2 1 1
direct
0.000 0.000 0.761
0.000 0.000 0.239
0.500 0.500 0.000
0.500 0.500 0.500

PBE Eu2ThMg, optimized geometry; magnetization = 14.98 μB/cell; energy above the lowest structure with this stoichiometry = 3.596 kcal/mol of atoms; energy of formation from the pure elements = 243 meV per atom
1.0
3.486 0.000 0.000
1.743 3.019 0.000
1.743 1.006 12.779
Eu Mg Th
2 1 1
direct
0.091 0.091 0.727
0.909 0.909 0.273
0.500 0.500 0.500
0.000 0.000 0.000

PBE EuTh2Mg, optimized geometry; magnetization = 7.56 μB/cell; energy of formation from the pure elements = 250 meV per atom
1.0
3.404 0.000 0.000
1.702 2.948 0.000
1.702 0.983 12.763
Eu Mg Th
1 1 2
direct
0.000 0.000 0.000
0.500 0.500 0.500
0.091 0.091 0.728
0.909 0.909 0.272

PBE EuThMg2, optimized geometry; magnetization = 7.60 μB/cell; energy above the lowest structure with this stoichiometry = 1.307 kcal/mol of atoms; energy of formation from the pure elements = 74 meV per atom
1.0
5.521 0.000 0.000
2.761 4.782 0.000
2.761 1.594 4.508
Eu Mg Th
1 2 1
direct
0.000 0.000 0.000
0.250 0.250 0.250
0.750 0.750 0.750
0.500 0.500 0.500

PBE EuThMg2, optimized geometry; magnetization = 7.33 μB/cell; energy above the lowest structure with this stoichiometry = 1.822 kcal/mol of atoms; energy of formation from the pure elements = 96 meV per atom
1.0
-3.164 -1.251 0.516
-0.513 -2.473 2.338
-3.104 6.890 9.139
Eu Mg Th
1 2 1
direct
0.500 0.500 0.500
0.750 0.750 0.751
0.250 0.250 0.249
0.000 0.000 0.000

PBE EuThMg4, optimized geometry; magnetization = 7.49 μB/cell; energy of formation from the pure elements = -8 meV per atom
1.0
-6.102 -0.234 -0.584
-2.652 -4.913 -2.541
-3.268 -3.860 3.471
Eu Mg Th
1 4 1
direct
0.250 0.250 0.250
0.626 0.626 0.122
0.626 0.122 0.626
0.626 0.626 0.626
0.122 0.626 0.626
0.000 0.000 0.000

PBE EuThMg2, optimized geometry; magnetization = 7.16 μB/cell; energy above the lowest structure with this stoichiometry = 0.000 kcal/mol of atoms; energy of formation from the pure elements = 17 meV per atom
1.0
3.830 0.000 0.000
0.000 3.830 0.000
0.000 0.000 8.177
Eu Mg Th
1 2 1
direct
0.500 0.500 0.500
0.000 0.000 0.759
0.000 0.000 0.241
0.500 0.500 0.000

PBE Eu2ThMg, optimized geometry; magnetization = 14.94 μB/cell; energy above the lowest structure with this stoichiometry = 2.434 kcal/mol of atoms; energy of formation from the pure elements = 192 meV per atom
1.0
-4.343 1.906 -2.405
-2.773 -1.400 3.898
0.764 4.437 2.137
Eu Mg Th
2 1 1
direct
0.000 0.000 0.500
0.000 0.500 0.000
0.500 0.500 0.500
0.500 0.000 0.000

PBE EuThMgZn, optimized geometry; magnetization = 7.73 μB/cell; energy of formation from the pure elements = -5 meV per atom
1.0
5.365 0.000 0.000
2.682 4.646 0.000
2.682 1.549 4.380
Eu Zn Mg Th
1 1 1 1
direct
0.750 0.750 0.750
0.000 0.000 0.000
0.500 0.500 0.500
0.250 0.250 0.250

PBE EuMgTl, optimized geometry; magnetization = 7.23 μB/cell; energy of formation from the pure elements = -281 meV per atom
1.0
3.737 0.000 0.000
0.000 5.170 0.000
0.000 -2.585 4.478
Eu Tl Mg
1 1 1
direct
0.667 0.667 0.333
0.167 0.333 0.667
0.167 0.000 0.000

PBE EuMg2Tl, optimized geometry; magnetization = 7.36 μB/cell; energy above the lowest structure with this stoichiometry = 0.000 kcal/mol of atoms; energy of formation from the pure elements = -157 meV per atom
1.0
5.035 0.000 0.000
0.000 4.687 0.000
0.000 0.000 4.687
Eu Tl Mg
1 1 2
direct
0.500 0.000 0.000
0.500 0.500 0.500
0.000 0.000 0.500
0.000 0.500 0.000

PBE EuMgTl, optimized geometry; magnetization = 7.30 μB/cell; energy of formation from the pure elements = -203 meV per atom
1.0
3.823 0.000 0.000
0.000 3.823 0.000
-1.912 -1.912 6.025
Eu Tl Mg
1 1 1
direct
0.946 0.946 0.893
0.265 0.265 0.530
0.638 0.638 0.277

PBE EuMg2Tl, optimized geometry; magnetization = 7.14 μB/cell; energy above the lowest structure with this stoichiometry = 0.776 kcal/mol of atoms; energy of formation from the pure elements = -123 meV per atom
1.0
5.294 0.000 0.000
2.647 4.585 0.000
2.647 1.528 4.322
Eu Tl Mg
1 1 2
direct
0.500 0.500 0.500
0.000 0.000 0.000
0.250 0.250 0.250
0.750 0.750 0.750

PBE EuMgTl, optimized geometry; magnetization = 28.67 μB/cell; energy of formation from the pure elements = -301 meV per atom
1.0
4.936 0.000 0.000
0.000 8.054 0.000
0.000 0.000 8.811
Eu Mg Tl
4 4 4
direct
0.750 0.990 0.688
0.250 0.010 0.312
0.250 0.510 0.188
0.750 0.490 0.812
0.750 0.843 0.065
0.250 0.157 0.935
0.250 0.657 0.565
0.750 0.343 0.435
0.750 0.720 0.387
0.250 0.280 0.613
0.250 0.780 0.887
0.750 0.220 0.113

Density of states at the Fermi level, record by record: 1.950, 1.944, 1.133, 2.138, 1.006, 1.485, 1.178, 1.134, 1.027, 1.852, 0.940, 0.970, 1.818, 1.586, 1.181, 3.141, 2.748, 2.937, 0.410, 3.777 states/eV/atom